Record 1
Material: La2Br3Cl
Method: DFT, GGA-PBE
State: optimized geometry

Energy relative to the elements, uncorrected = -10.9 eV/f.u.
Electronic total energy = -4.6005 eV per atom

Unit cell a=4.2130 b=8.7529 c=11.5139 alpha=77.47 beta=79.46 gamma=76.07
Sites, in units of the cell vectors:
La1 0.8414 0.4411 0.8760
La2 0.1586 0.5589 0.1240
La3 0.5988 0.2551 0.5474
La4 0.4012 0.7449 0.4526
Br1 0.0514 0.1542 0.7430
Br2 0.9486 0.8458 0.2570
Br3 0.6370 0.7598 0.9662
Br4 0.3630 0.2402 0.0338
Br5 0.7631 0.8647 0.6090
Br6 0.2369 0.1353 0.3910
Cl1 0.3958 0.5203 0.6881
Cl2 0.6042 0.4797 0.3119

Record 2
Material: LaBr2Cl
Method: DFT, GGA-PBE
State: optimized geometry

Energy relative to the elements, uncorrected = -7.7 eV/f.u.
Electronic total energy = -4.4623 eV per atom

Unit cell a=7.7854 b=7.7854 c=7.7854 alpha=150.94 beta=138.96 gamma=51.07
Sites, in units of the cell vectors:
Cl1 0.3973 0.3973 0.0000
Br1 0.0945 0.0945 0.0000
Br2 0.7544 0.2544 0.5000
La1 0.2538 0.7538 0.5000

Record 3
Material: LaBrCl2
Method: DFT, GGA-PBE
State: optimized geometry

Energy relative to the elements, uncorrected = -8.9 eV/f.u.
Electronic total energy = -4.7874 eV per atom

Unit cell a=4.3757 b=7.5715 c=7.5754 alpha=43.35 beta=90.00 gamma=90.00
Sites, in units of the cell vectors:
Cl1 0.0000 0.9930 0.9929
Cl2 0.5000 0.3714 0.3723
Br1 0.5000 0.6392 0.6384
La1 0.0000 0.4965 0.4964

Record 4
Material: La4Br5Cl4
Method: DFT, GGA-PBE
State: optimized geometry

Energy relative to the elements, uncorrected = -25.5 eV/f.u.
Electronic total energy = -4.6899 eV per atom

Unit cell a=3.8741 b=9.9026 c=9.9026 alpha=87.81 beta=78.72 gamma=78.72
Sites, in units of the cell vectors:
La1 0.7618 0.2621 0.2143
La2 0.2382 0.7379 0.7857
La3 0.9761 0.7857 0.2621
La4 0.0239 0.2143 0.7379
Br1 0.6794 0.9626 0.6785
Br2 0.3206 0.0374 0.3215
Br3 0.0000 0.0000 0.0000
Br4 0.6420 0.6785 0.0374
Br5 0.3580 0.3215 0.9626
Cl1 0.8802 0.5218 0.7179
Cl2 0.5981 0.2821 0.5218
Cl3 0.1198 0.4782 0.2821
Cl4 0.4019 0.7179 0.4782